Computed, not measured: an optimized crystal structure of BaMnOs2O8 at the PBE+U level of DFT.

Energy ... -87.5 eV/cell

```
12
Lattice="5.860 0.000 0.000 -2.930 5.075 0.000 0.000 0.000 7.459" Properties=species:S:1:pos:R:3 pbc="T T T"
O -0.109 1.628 5.154
O 0.000 3.383 7.406
O 4.396 0.719 2.305
O 1.355 0.908 2.305
O -1.466 4.356 5.154
O 3.039 3.448 2.305
O 2.930 1.692 0.052
O 1.575 4.167 5.154
Os 0.000 3.383 5.596
Os 2.930 1.692 1.863
Mn 0.000 0.000 3.729
Ba 0.000 0.000 0.000
```